Density functional theory data (meta-GGA SCAN) for a crystal of Ag2SeBr relaxed with PBEsol.

Cell: 4.8274 4.8274 4.8274 Å, 60.00 60.00 60.00°
Closest atoms and distances in Å follow each position.
Atoms (fractional coordinates):
Ag (0.0000, 0.0000, 0.0000)  4 Se 2.96, 4 Ag 2.96
Ag (0.2500, 0.2500, 0.2500)  4 Br 2.96, 4 Ag 2.96
Br (0.5000, 0.5000, 0.5000)  4 Se 2.96, 4 Ag 2.96
Se (0.7500, 0.7500, 0.7500)  4 Br 2.96, 4 Ag 2.96

Output
VASP energy (eV/atom): -25.1628
Total magnetic moment (μB/cell): 0.00
SG: No. 216
Formation energy without anion corrections (eV/atom): 0.405



Density functional theory data (meta-GGA SCAN) for a crystal of AgSeBr relaxed with PBEsol.

Cell: 3.8744 3.8744 5.1530 Å, 90.00 90.00 120.00°
Closest atoms and distances in Å follow each position.
Atoms (fractional coordinates):
Se (0.6667, 0.3333, 0.2761)  3 Ag 2.60
Br (0.3333, 0.6667, 0.7055)  3 Ag 2.76
Ag (0.0000, 0.0000, 0.0185)  3 Se 2.60, 3 Br 2.76

Output
VASP energy (eV/atom): -23.5631
Total magnetic moment (μB/cell): 0.00
SG: No. 156
Formation energy without anion corrections (eV/atom): 0.072



Density functional theory data (meta-GGA SCAN) for a crystal of Ag2SeBr relaxed with PBEsol.

Cell: 3.5801 4.3410 6.5515 Å, 90.25 90.00 114.35°
Closest atoms and distances in Å follow each position.
Atoms (fractional coordinates):
Se (0.7550, 0.5100, 0.0305)  5 Ag 2.59-2.62
Br (0.5007, 0.0014, 0.5251)  5 Ag 2.76-2.87
Ag (0.0541, 0.1082, 0.1937)  3 Se 2.59-2.62, 2 Br 2.85
Ag (0.1902, 0.3804, 0.7507)  2 Se 2.61, 3 Br 2.76-2.87

Output
VASP energy (eV/atom): -25.7026
Total magnetic moment (μB/cell): 0.00
SG: No. 8
Formation energy without anion corrections (eV/atom): -0.135



Density functional theory data (meta-GGA SCAN) for a crystal of Ag2SeBr relaxed with PBEsol.

Cell: 3.8553 3.8476 6.9679 Å, 73.93 73.94 59.93°
Closest atoms and distances in Å follow each position.
Atoms (fractional coordinates):
Se (0.5000, 0.0000, 0.0000)  6 Ag 2.68
Br (0.0000, 0.5000, 0.5000)  6 Ag 2.86
Ag (0.2422, 0.7428, 0.7728)  3 Se 2.68, 3 Br 2.86
Ag (0.7578, 0.2572, 0.2272)  3 Se 2.68, 3 Br 2.86

Output
VASP energy (eV/atom): -25.7328
Total magnetic moment (μB/cell): 0.00
SG: No. 12
Formation energy without anion corrections (eV/atom): -0.165



Density functional theory data (meta-GGA SCAN) for a crystal of AgSe2Br relaxed with PBEsol.

Cell: 4.0805 5.4532 5.4532 Å, 82.83 68.03 68.03°
Closest atoms and distances in Å follow each position.
Atoms (fractional coordinates):
Ag (0.0000, 0.5063, 0.4937)  2 Br 2.60, 2 Se 2.75
Br (0.5000, 0.2834, 0.7166)  2 Ag 2.60
Se (0.0000, 0.9483, 0.0517)  2 Se 2.44
Se (0.5000, 0.7620, 0.2380)  2 Se 2.44

Output
VASP energy (eV/atom): -22.6571
Total magnetic moment (μB/cell): 0.00
SG: No. 44
Formation energy without anion corrections (eV/atom): 0.089



Density functional theory data (meta-GGA SCAN) for a crystal of AgSnSeBr2 relaxed with PBEsol.

Cell: 5.2368 5.4266 5.4266 Å, 90.00 90.00 90.00°
Closest atoms and distances in Å follow each position.
Atoms (fractional coordinates):
Br (0.0000, 0.0000, 0.5000)  2 Sn 2.71
Br (0.0000, 0.5000, 0.0000)  2 Sn 2.71
Se (0.5000, 0.0000, 0.0000)  2 Sn 2.62
Sn (0.0000, 0.0000, 0.0000)  2 Se 2.62, 4 Br 2.71
Ag (0.5000, 0.5000, 0.5000)  8 Br 3.77, 4 Se 3.84

Output
VASP energy (eV/atom): -25.2374
Total magnetic moment (μB/cell): 0.00
SG: No. 123
Formation energy without anion corrections (eV/atom): 0.020